(1)
Crystalline SiMo2W at its relaxed geometry, computed with PBE-GGA.

Lattice parameters (Å, degrees): 5.1587 5.1587 5.1587 144.05 131.15 62.12
Atoms (fractional coordinates):
Si (0.0000, 0.0000, 0.0000)
Mo (0.2516, 0.7516, 0.5000)
Mo (0.5003, 0.5003, 0.0000)
W (0.7482, 0.2482, 0.5000)

Values from the calculation:
space-group type	Imm2 (44)

=====

(2)
Crystalline SiMo2W at its relaxed geometry, computed with PBE-GGA.

Lattice parameters (Å, degrees): 4.4000 4.4000 4.4000 60.00 60.00 60.00
Atoms (fractional coordinates):
Si (0.0000, 0.0000, 0.0000)
Mo (0.2500, 0.2500, 0.2500)
Mo (0.7500, 0.7500, 0.7500)
W (0.5000, 0.5000, 0.5000)

Values from the calculation:
space-group type	Fm-3m (225)

=====

Quick look at relative energies in eV/atom: (1) 0.000; (2) 0.059.

=====

(1)
Crystalline SiMo2W at its relaxed geometry, computed with PBE-GGA.

Lattice parameters (Å, degrees): 3.2557 4.2720 4.3366 90.00 90.00 90.00
Atoms (fractional coordinates):
Si (0.0000, 0.0000, 0.0000)
Mo (0.0000, 0.5000, 0.5000)
Mo (0.5000, 0.5000, 0.0000)
W (0.5000, 0.0000, 0.5000)

Values from the calculation:
space-group type	Pmmm (47)

=====

(2)
Crystalline SiMo2W at its relaxed geometry, computed with PBE-GGA.

Lattice parameters (Å, degrees): 5.5853 5.5853 5.5853 104.61 104.61 119.70
Atoms (fractional coordinates):
Si (0.0000, 0.0000, 0.0000)
Si (0.7500, 0.2500, 0.5000)
Mo (0.1013, 0.6250, 0.9763)
Mo (0.3750, 0.3513, 0.4763)
Mo (0.6487, 0.1250, 0.0237)
Mo (0.8750, 0.8987, 0.5237)
W (0.2500, 0.7500, 0.5000)
W (0.5000, 0.5000, 0.0000)

Values from the calculation:
space-group type	I-42d (122)

=====

(3)
Crystalline SiMo2W at its relaxed geometry, computed with PBE-GGA.

Lattice parameters (Å, degrees): 2.8651 4.1193 5.1868 90.00 90.00 90.00
Atoms (fractional coordinates):
Si (0.0000, 0.0000, 0.0000)
Mo (0.0000, 0.0000, 0.5006)
Mo (0.5000, 0.5000, 0.7608)
W (0.5000, 0.5000, 0.2473)

Values from the calculation:
space-group type	Pmm2 (25)

=====

(4)
Crystalline SiMo2W at its relaxed geometry, computed with PBE-GGA.

Lattice parameters (Å, degrees): 3.2420 3.2420 5.7588 90.00 90.00 90.00
Atoms (fractional coordinates):
Si (0.0000, 0.0000, 0.0000)
Mo (0.5000, 0.5000, 0.2354)
Mo (0.5000, 0.5000, 0.7646)
W (0.0000, 0.0000, 0.5000)

Values from the calculation:
space-group type	P4/mmm (123)

=====

Quick look at relative energies in eV/atom: (1) 0.123; (2) 0.764; (3) 0.134; (4) 0.000.

=====

(1)
Crystalline SiMo2W at its relaxed geometry, computed with PBE-GGA.

Lattice parameters (Å, degrees): 8.9789 8.9789 8.9789 18.19 18.19 18.19
Atoms (fractional coordinates):
Si (0.0000, 0.0000, 0.0000)
Mo (0.4986, 0.4986, 0.4986)
Mo (0.7453, 0.7453, 0.7453)
W (0.2535, 0.2535, 0.2535)

Values from the calculation:
space-group type	R3m (160)

=====

(2)
Crystalline SiMo2W at its relaxed geometry, computed with PBE-GGA.

Lattice parameters (Å, degrees): 2.7526 4.3564 5.2478 90.00 104.78 90.00
Atoms (fractional coordinates):
Si (0.0000, 0.0000, 0.0000)
Mo (0.4799, 0.5000, 0.7584)
Mo (0.5201, 0.5000, 0.2416)
W (0.0000, 0.0000, 0.5000)

Values from the calculation:
space-group type	P2/m (10)

=====

Quick look at relative energies in eV/atom: (1) 0.217; (2) 0.000.